1.
Computed, not measured: TbHoGeRu after structural relaxation at the PBE-GGA level of DFT.

Geometry as POSCAR:
```
TbHoGeRu
1.0
-4.617 1.636 -0.544
-3.436 -1.165 3.335
-1.762 3.460 3.035
Ru Ge Tb Ho
1 1 1 1
direct
0.750 0.750 0.750 Ru
0.250 0.250 0.250 Ge
0.000 0.000 0.000 Tb
0.500 0.500 0.500 Ho
```

Calculated values
Energy above the lowest structure with this stoichiometry = 14.6 kJ per mole of atoms
Energy relative to the elements = -478 meV per atom


2.
Computed, not measured: Be2CrTe after structural relaxation at the PBE-GGA level of DFT.

Geometry as POSCAR:
```
Be2CrTe
1.0
3.927 0.000 0.000
0.000 3.927 0.000
0.000 0.000 3.602
Cr Te Be
1 1 2
direct
0.500 0.000 0.500 Cr
0.000 0.500 0.500 Te
0.000 0.000 0.000 Be
0.500 0.500 0.000 Be
```

Calculated values
Formation energy without anion corrections = 0.523 eV/atom


3.
Computed, not measured: LiSnAu2 after structural relaxation at the PBE-GGA level of DFT.

Geometry as POSCAR:
```
LiSnAu2
1.0
3.506 0.000 0.000
0.000 3.506 0.000
0.000 0.000 6.152
Au Sn Li
2 1 1
direct
0.000 0.000 0.773 Au
0.000 0.000 0.227 Au
0.500 0.500 0.500 Sn
0.500 0.500 0.000 Li
```

Calculated values
Energy relative to the elements = -344 meV per atom


4.
Computed, not measured: CdSb2Pt after structural relaxation at the PBE-GGA level of DFT.

Geometry as POSCAR:
```
CdSb2Pt
1.0
-1.799 -1.127 -2.444
-0.260 -3.031 1.589
-6.955 2.643 3.901
Sb Pt Cd
2 1 1
direct
0.000 0.000 0.955 Sb
0.000 0.000 0.545 Sb
0.500 0.500 0.750 Pt
0.500 0.500 0.250 Cd
```

Calculated values
Formation energy without anion corrections = -0.044 eV/atom


5.
Computed, not measured: TbPm3Dy4 after structural relaxation at the PBE-GGA level of DFT.

Geometry as POSCAR:
```
TbPm3Dy4
1.0
3.452 0.000 -0.436
-0.172 6.617 -1.366
-0.255 -1.020 11.877
Dy Tb Pm
4 1 3
direct
0.740 0.246 0.481 Dy
0.260 0.754 0.519 Dy
0.125 0.366 0.250 Dy
0.875 0.634 0.750 Dy
0.500 0.000 0.000 Tb
0.000 0.500 0.000 Pm
0.126 0.881 0.252 Pm
0.874 0.119 0.748 Pm
```

Calculated values
Energy above the lowest structure with this stoichiometry = 13.5 kJ per mole of atoms
Energy relative to the elements = 161 meV per atom


6.
Computed, not measured: BaSb2Pt3 after structural relaxation at the PBE-GGA level of DFT.

Geometry as POSCAR:
```
BaSb2Pt3
1.0
4.482 -0.003 0.000
-2.246 8.430 -2.656
-0.001 0.192 10.912
Ba Sb Pt
3 6 9
direct
0.154 0.308 0.701 Ba
0.846 0.692 0.299 Ba
0.000 0.000 0.000 Ba
0.205 0.410 0.096 Sb
0.795 0.590 0.904 Sb
0.489 0.977 0.240 Sb
0.511 0.023 0.760 Sb
0.343 0.683 0.546 Sb
0.657 0.317 0.454 Sb
0.049 0.096 0.371 Pt
0.951 0.904 0.629 Pt
0.204 0.412 0.352 Pt
0.796 0.588 0.648 Pt
0.634 0.271 0.193 Pt
0.366 0.729 0.807 Pt
0.500 0.000 0.500 Pt
0.349 0.697 0.054 Pt
0.651 0.303 0.946 Pt
```

Calculated values
Formation energy without anion corrections = -0.661 eV/atom


7.
Computed, not measured: PtPbN2O after structural relaxation at the PBE-GGA level of DFT.

Geometry as POSCAR:
```
PtPbN2O
1.0
3.884 0.000 0.000
0.000 3.884 0.000
0.000 0.000 4.893
Pb O Pt N
1 1 1 2
direct
0.500 0.500 0.500 Pb
0.000 0.000 0.500 O
0.000 0.000 0.000 Pt
0.000 0.500 0.000 N
0.500 0.000 0.000 N
```

Calculated values
Formation energy without anion corrections = 0.779 eV/atom


8.
Computed, not measured: RbTmBO4 after structural relaxation at the PBE-GGA level of DFT.

Geometry as POSCAR:
```
RbTmBO4
1.0
5.215 0.000 -0.146
0.000 5.498 0.000
-2.233 0.000 7.234
Rb Tm B O
2 2 2 8
direct
0.711 0.750 0.934 Rb
0.289 0.250 0.066 Rb
0.781 0.750 0.460 Tm
0.219 0.250 0.540 Tm
0.224 0.750 0.342 B
0.776 0.250 0.658 B
0.953 0.467 0.676 O
0.047 0.967 0.324 O
0.047 0.533 0.324 O
0.953 0.033 0.676 O
0.393 0.750 0.222 O
0.607 0.250 0.778 O
0.400 0.750 0.543 O
0.600 0.250 0.457 O
```

Calculated values
Formation energy without anion corrections = -2.457 eV/atom


9.
Computed, not measured: NbZnSe2Br after structural relaxation at the PBE-GGA level of DFT.

Geometry as POSCAR:
```
NbZnSe2Br
1.0
-1.065 4.925 -0.152
-2.269 -0.628 -4.458
-4.614 -0.921 2.479
Zn Nb Se Br
1 1 2 1
direct
0.500 0.500 0.500 Zn
0.000 0.000 0.000 Nb
0.000 0.500 0.000 Se
0.500 0.000 0.000 Se
0.000 0.000 0.500 Br
```

Calculated values
Energy above the lowest structure with this stoichiometry = 0.0 kJ per mole of atoms
Formation energy without anion corrections = -0.154 eV/atom


10.
Computed, not measured: BC3Se after structural relaxation at the PBE-GGA level of DFT.

Geometry as POSCAR:
```
BC3Se
1.0
-0.039 -2.961 2.004
0.840 -1.956 -2.873
3.475 0.439 0.717
C B Se
3 1 1
direct
0.000 0.500 0.000 C
0.000 0.000 0.500 C
0.500 0.000 0.000 C
0.000 0.000 0.000 B
0.500 0.500 0.500 Se
```

Calculated values
Energy above the lowest structure with this stoichiometry = 0.0 kJ per mole of atoms
Formation energy without anion corrections = 2.562 eV/atom


11.
Computed, not measured: LiAgOsF6 after structural relaxation at the PBE-GGA level of DFT.

Geometry as POSCAR:
```
LiAgOsF6
1.0
-1.628 4.081 -3.094
2.209 -4.356 -2.241
-9.489 -4.396 -0.806
Li Ag Os F
2 2 2 12
direct
0.333 0.667 0.250 Li
0.667 0.333 0.750 Li
0.000 0.000 0.000 Ag
0.000 0.000 0.500 Ag
0.667 0.333 0.250 Os
0.333 0.667 0.750 Os
0.645 0.631 0.147 F
0.986 0.355 0.147 F
0.355 0.986 0.647 F
0.014 0.645 0.853 F
0.369 0.355 0.353 F
0.986 0.631 0.353 F
0.631 0.986 0.853 F
0.645 0.014 0.353 F
0.014 0.369 0.647 F
0.369 0.014 0.147 F
0.631 0.645 0.647 F
0.355 0.369 0.853 F
```

Calculated values
Formation energy without anion corrections = -1.800 eV/atom


12.
Computed, not measured: LiHg2PSe4 after structural relaxation at the PBE-GGA level of DFT.

Geometry as POSCAR:
```
LiHg2PSe4
1.0
-5.346 3.498 1.355
-1.782 -5.578 3.006
5.574 2.928 2.027
Li Hg P Se
1 2 1 4
direct
0.980 0.489 0.948 Li
0.485 0.979 0.980 Hg
0.169 0.182 0.370 Hg
0.746 0.727 0.464 P
0.654 0.641 0.726 Se
0.879 0.410 0.259 Se
0.385 0.875 0.281 Se
0.089 0.085 0.747 Se
```

Calculated values
Formation energy without anion corrections = -0.273 eV/atom


13.
Computed, not measured: Ca6AgRh after structural relaxation at the PBE-GGA level of DFT.

Geometry as POSCAR:
```
Ca6AgRh
1.0
4.408 0.009 1.531
1.593 8.348 2.478
-0.079 -0.365 7.369
Ca Ag Rh
6 1 1
direct
0.999 0.335 0.667 Ca
0.633 0.021 0.713 Ca
0.734 0.333 0.200 Ca
0.367 0.979 0.287 Ca
0.001 0.665 0.333 Ca
0.266 0.667 0.800 Ca
0.000 0.000 0.000 Ag
0.500 0.500 0.500 Rh
```

Calculated values
Energy relative to the elements = -140 meV per atom


14.
Computed, not measured: BaTiIn after structural relaxation at the PBE-GGA level of DFT.

Geometry as POSCAR:
```
BaTiIn
1.0
-2.159 -0.880 3.102
1.842 -3.413 0.314
4.386 4.767 1.978
Ti Ba In
1 1 1
direct
0.247 0.369 0.401 Ti
0.961 0.083 0.829 Ba
0.671 0.793 0.249 In
```

Calculated values
Energy above the lowest structure with this stoichiometry = 0.0 kJ per mole of atoms
Energy relative to the elements = 175 meV per atom


15.
Computed, not measured: DyErTcHg after structural relaxation at the PBE-GGA level of DFT.

Geometry as POSCAR:
```
DyErTcHg
1.0
-3.918 0.919 -2.992
-0.710 -2.767 -4.122
-3.811 -3.253 -0.211
Tc Dy Hg Er
1 1 1 1
direct
0.250 0.250 0.250 Tc
0.000 0.000 0.000 Dy
0.750 0.750 0.750 Hg
0.500 0.500 0.500 Er
```

Calculated values
Energy relative to the elements = -168 meV per atom


16.
Computed, not measured: PrHf2Rh after structural relaxation at the PBE-GGA level of DFT.

Geometry as POSCAR:
```
PrHf2Rh
1.0
3.350 0.000 0.000
0.000 3.350 0.000
0.000 0.000 7.951
Pr Rh Hf
1 1 2
direct
0.500 0.500 0.500 Pr
0.500 0.500 0.000 Rh
0.000 0.000 0.806 Hf
0.000 0.000 0.194 Hf
```

Calculated values
Energy relative to the elements = -276 meV per atom


17.
Computed, not measured: Zr3ScBr after structural relaxation at the PBE-GGA level of DFT.

Geometry as POSCAR:
```
Zr3ScBr
1.0
-3.957 -0.884 2.953
3.068 -1.589 3.636
0.295 4.674 1.795
Sc Br Zr
1 1 3
direct
0.500 0.500 0.500 Sc
0.000 0.000 0.000 Br
0.000 0.500 0.000 Zr
0.000 0.000 0.500 Zr
0.500 0.000 0.000 Zr
```

Calculated values
Energy above the lowest structure with this stoichiometry = 0.0 kJ per mole of atoms
Formation energy without anion corrections = 0.221 eV/atom


18.
Computed, not measured: KZr2Mo after structural relaxation at the PBE-GGA level of DFT.

Geometry as POSCAR:
```
KZr2Mo
1.0
3.714 0.000 0.000
0.000 4.895 0.000
0.000 0.000 4.895
K Mo Zr
1 1 2
direct
0.500 0.500 0.000 K
0.500 0.000 0.500 Mo
0.000 0.000 0.000 Zr
0.000 0.500 0.500 Zr
```

Calculated values
Energy above the lowest structure with this stoichiometry = 79.6 kJ per mole of atoms
Energy relative to the elements = 1114 meV per atom


19.
Computed, not measured: TlSi2Tc after structural relaxation at the PBE-GGA level of DFT.

Geometry as POSCAR:
```
TlSi2Tc
1.0
4.276 0.000 0.000
0.000 3.394 0.013
0.000 1.677 4.847
Si Tc Tl
2 1 1
direct
0.000 0.017 0.090 Si
0.500 0.446 0.234 Si
0.000 0.326 0.473 Tc
0.500 0.711 0.703 Tl
```

Calculated values
Energy above the lowest structure with this stoichiometry = 23.1 kJ per mole of atoms
Formation energy without anion corrections = 0.267 eV/atom


20.
Computed, not measured: Rb2TlCdBr6 after structural relaxation at the PBE-GGA level of DFT.

Geometry as POSCAR:
```
Rb2TlCdBr6
1.0
7.893 0.000 -0.018
0.000 8.123 0.000
0.048 0.000 11.304
Rb Tl Cd Br
4 2 2 12
direct
0.018 0.938 0.251 Rb
0.518 0.562 0.751 Rb
0.982 0.062 0.749 Rb
0.482 0.438 0.249 Rb
0.500 0.000 0.500 Tl
0.000 0.500 0.000 Tl
0.500 0.000 0.000 Cd
0.000 0.500 0.500 Cd
0.302 0.716 0.040 Br
0.802 0.784 0.540 Br
0.698 0.284 0.960 Br
0.198 0.216 0.460 Br
0.286 0.698 0.462 Br
0.786 0.802 0.962 Br
0.714 0.302 0.538 Br
0.214 0.198 0.038 Br
0.923 0.510 0.259 Br
0.423 0.990 0.759 Br
0.077 0.490 0.741 Br
0.577 0.010 0.241 Br
```

Calculated values
Energy above the lowest structure with this stoichiometry = 0.0 kJ per mole of atoms
Formation energy without anion corrections = -1.126 eV/atom


21.
Computed, not measured: Fe2Sb8Mo after structural relaxation at the PBE-GGA level of DFT.

Geometry as POSCAR:
```
Fe2Sb8Mo
1.0
-2.757 2.239 3.489
3.748 -4.075 5.855
6.539 3.387 3.271
Sb Mo Fe
8 1 2
direct
0.733 0.813 0.345 Sb
0.267 0.655 0.187 Sb
0.712 0.834 0.834 Sb
0.288 0.166 0.166 Sb
0.733 0.345 0.813 Sb
0.267 0.187 0.655 Sb
0.158 0.647 0.647 Sb
0.842 0.353 0.353 Sb
0.000 0.000 0.000 Mo
0.217 0.828 0.828 Fe
0.783 0.172 0.172 Fe
```

Calculated values
Formation energy without anion corrections = 0.268 eV/atom


22.
Computed, not measured: ReIrAu3 after structural relaxation at the PBE-GGA level of DFT.

Geometry as POSCAR:
```
ReIrAu3
1.0
-1.540 4.102 -2.424
-3.909 0.368 3.107
2.723 2.848 3.089
Re Ir Au
1 1 3
direct
0.500 0.500 0.500 Re
0.000 0.000 0.000 Ir
0.000 0.500 0.000 Au
0.000 0.000 0.500 Au
0.500 0.000 0.000 Au
```

Calculated values
Energy above the lowest structure with this stoichiometry = 0.0 kJ per mole of atoms
Energy relative to the elements = 1946 meV per atom


23.
Computed, not measured: CaYTl after structural relaxation at the PBE-GGA level of DFT.

Geometry as POSCAR:
```
CaYTl
1.0
-1.850 1.048 -4.562
-0.335 -4.922 -0.996
-7.298 -0.098 2.937
Y Tl Ca
2 2 2
direct
0.000 0.500 0.257 Y
0.500 0.000 0.743 Y
0.000 0.000 0.500 Tl
0.500 0.500 0.500 Tl
0.000 0.500 0.798 Ca
0.500 0.000 0.202 Ca
```

Calculated values
Energy above the lowest structure with this stoichiometry = 28.3 kJ per mole of atoms
Energy relative to the elements = -55 meV per atom


24.
Computed, not measured: SmFeGe2Os after structural relaxation at the PBE-GGA level of DFT.

Geometry as POSCAR:
```
SmFeGe2Os
1.0
-1.604 2.916 -2.384
-2.062 -2.848 -2.097
-2.215 0.453 5.560
Sm Fe Ge Os
1 1 2 1
direct
0.000 0.000 0.000 Sm
0.750 0.250 0.500 Fe
0.624 0.624 0.249 Ge
0.376 0.376 0.751 Ge
0.250 0.750 0.500 Os
```

Calculated values
Energy relative to the elements = -418 meV per atom


25.
Computed, not measured: Pu2SnI after structural relaxation at the PBE-GGA level of DFT.

Geometry as POSCAR:
```
Pu2SnI
1.0
5.388 0.000 0.000
2.694 4.666 0.000
2.694 1.555 4.401
I Sn Pu
1 1 2
direct
0.500 0.500 0.500 I
0.000 0.000 0.000 Sn
0.750 0.750 0.750 Pu
0.250 0.250 0.250 Pu
```

Calculated values
Energy above the lowest structure with this stoichiometry = 8.6 kJ per mole of atoms
Formation energy without anion corrections = -0.359 eV/atom


26.
Computed, not measured: FeP2SCl after structural relaxation at the PBE-GGA level of DFT.

Geometry as POSCAR:
```
FeP2SCl
1.0
-1.294 -2.567 -3.440
3.942 0.711 -2.013
1.649 -3.501 1.992
P S Fe Cl
2 1 1 1
direct
0.000 0.500 0.000 P
0.500 0.000 0.000 P
0.000 0.000 0.500 S
0.000 0.000 0.000 Fe
0.500 0.500 0.500 Cl
```

Calculated values
Energy above the lowest structure with this stoichiometry = 0.0 kJ per mole of atoms
Formation energy without anion corrections = 0.497 eV/atom


Number 1: total magnetization 0.000 μB/cell. Number 2: total magnetization 2.938 μB/cell. Number 3: total magnetization 0.000 μB/cell. Number 4: total magnetization 0.000 μB/cell. Number 5: total magnetization 0.000 μB/cell. Number 6: total magnetization 0.000 μB/cell. Number 7: total magnetization 0.000 μB/cell. Number 8: total magnetization 2.027 μB/cell. Number 9: total magnetization 0.000 μB/cell. Number 10: total magnetization 0.000 μB/cell. Number 11: total magnetization 4.000 μB/cell. Number 12: total magnetization 0.000 μB/cell. Number 13: total magnetization 0.000 μB/cell. Number 14: total magnetization 2.310 μB/cell. Number 15: total magnetization 0.000 μB/cell. Number 16: total magnetization 0.000 μB/cell. Number 17: total magnetization 0.000 μB/cell. Number 18: total magnetization 0.000 μB/cell. Number 19: total magnetization 0.000 μB/cell. Number 20: total magnetization 0.000 μB/cell. Number 21: total magnetization 3.117 μB/cell. Number 22: total magnetization 5.710 μB/cell. Number 23: total magnetization 0.000 μB/cell. Number 24: total magnetization 1.632 μB/cell. Number 25: total magnetization 11.000 μB/cell. Number 26: total magnetization 1.795 μB/cell.